(1)
PBE ThPaP, optimized geometry; formation enthalpy at 0 K = -484.0 meV/atom; space group = No. 63; final energy = -7.9259 eV per atom
1.0
1.7475 -12.1920 0.0000
1.7475 12.1920 0.0000
0.0000 0.0000 3.4778
Th Pa P
2 2 2
Direct
0.1901 0.8099 0.7500
0.8099 0.1901 0.2500
0.0558 0.9442 0.7500
0.9442 0.0558 0.2500
0.3829 0.6171 0.7500
0.6171 0.3829 0.2500

***

(2)
PBE LiTlSe3, optimized geometry; formation energy from raw total energies = 0.3 eV/f.u.; space group = No. 221; final energy = -2.8871 eV per atom
1.0
4.9382 0.0000 0.0000
0.0000 4.9382 0.0000
0.0000 0.0000 4.9382
Li Tl Se
1 1 3
Direct
0.0000 0.0000 0.0000
0.5000 0.5000 0.5000
0.0000 0.0000 0.5000
0.0000 0.5000 0.0000
0.5000 0.0000 0.0000

***

Which value of final energy does entry 2 give? -2.8871 eV per atom